A | 5
Lattice="5.0387 0.0000 0.0000 0.0000 5.0387 0.0000 0.0000 0.0000 5.0387" Properties=species:S:1:pos:R:3 comment="Sc3NbAl, optimized geometry, DFT GGA-PBE" density_g_cm3=3.31 pbc="T T T"
Sc 0.0000 2.5194 0.0000
Sc 0.0000 0.0000 2.5194
Sc 2.5194 0.0000 0.0000
Al 2.5194 2.5194 2.5194
Nb 0.0000 0.0000 0.0000

=====

B | 5
Lattice="5.0136 0.0000 0.0000 0.0000 5.0136 0.0000 0.0000 0.0000 5.0136" Properties=species:S:1:pos:R:3 comment="Sc3NbAl, optimized geometry, DFT GGA-PBE" density_g_cm3=3.36 pbc="T T T"
Sc 0.0000 2.5068 0.0000
Sc 0.0000 0.0000 2.5068
Sc 2.5068 0.0000 0.0000
Nb 2.5068 2.5068 2.5068
Al 0.0000 0.0000 0.0000

=====

Most stable pick: A. Distance to second place: 166 meV per atom.

=====

A | 10
Lattice="-6.5124 3.1289 -2.4756 -3.5408 -6.7164 0.8258 -0.8047 0.8104 3.1412" Properties=species:S:1:pos:R:3 comment="Sc2NbAl2, optimized geometry, DFT GGA-PBE" density_g_cm3=4.03 pbc="T T T"
Al -4.5004 1.1204 -1.4420
Al -7.9151 -1.4478 -1.6541
Al -5.5528 -4.7080 -0.2078
Al -2.1382 -2.1398 0.0043
Nb -5.0266 -1.7938 -0.8249
Nb 0.0000 0.0000 0.0000
Sc -6.9084 0.8099 -0.2006
Sc -3.9495 -3.5870 1.6919
Sc -3.1334 0.2297 0.9162
Sc -7.7246 -3.0068 0.5751

=====

B | 5
Lattice="-2.2176 -0.2307 -3.1396 -2.4514 -2.2828 1.8992 -5.6915 3.9995 1.3648" Properties=species:S:1:pos:R:3 comment="Sc2NbAl2, optimized geometry, DFT GGA-PBE" density_g_cm3=4.05 pbc="T T T"
Sc -5.1218 1.2560 -1.1975
Sc -5.2387 0.2300 1.3219
Nb 0.0000 0.0000 0.0000
Al -2.9512 -0.2911 -0.2555
Al -7.4093 1.7771 0.3799

=====

Most stable pick: A. Distance to second place: 258 meV per atom.

=====

A | 5
Lattice="-3.5763 2.3637 -2.1853 1.3735 -1.8337 -4.2313 -2.9113 -3.7687 0.6881" Properties=species:S:1:pos:R:3 comment="NbAlSe3, optimized geometry, DFT GGA-PBE" density_g_cm3=5.32 pbc="T T T"
Se 0.6868 -0.9168 -2.1156
Se -1.4557 -1.8844 0.3441
Se -1.7882 1.1818 -1.0926
Nb -2.5571 -1.6194 -2.8642
Al 0.0000 0.0000 0.0000

=====

B | 5
Lattice="-3.0992 3.2596 2.3619 1.7033 -1.6388 4.4969 3.6472 3.5353 -0.0931" Properties=species:S:1:pos:R:3 comment="NbAlSe3, optimized geometry, DFT GGA-PBE" density_g_cm3=4.52 pbc="T T T"
Se 1.8236 1.7676 -0.0466
Se 0.8517 -0.8194 2.2484
Se -1.5496 1.6298 1.1809
Al 1.1257 2.5780 3.3828
Nb 0.0000 0.0000 0.0000

=====

Most stable pick: B. Distance to second place: 401 meV per atom.

=====

A | 8
Lattice="3.9507 0.0000 0.0000 0.0000 3.9507 0.0000 1.9753 1.9753 9.6041" Properties=species:S:1:pos:R:3 comment="Nb2AlSe, optimized geometry, DFT GGA-PBE" density_g_cm3=6.46 pbc="T T T"
Nb 2.9630 2.9753 7.2031
Nb 4.9383 4.9261 7.2031
Nb 2.9507 0.9877 2.4010
Nb 0.9999 2.9630 2.4010
Se 3.9507 1.9753 4.8021
Se 0.0000 0.0000 0.0000
Al 1.9753 1.9753 0.0000
Al 1.9753 3.9507 4.8021

=====

B | 4
Lattice="-1.3862 -4.2564 1.0569 -4.4174 -1.1740 -0.5133 -1.2323 -2.9130 -3.3393" Properties=species:S:1:pos:R:3 comment="Nb2AlSe, optimized geometry, DFT GGA-PBE" density_g_cm3=7.04 pbc="T T T"
Nb -5.2769 -6.2575 -2.0968
Nb -1.7590 -2.0858 -0.6989
Se -3.5179 -4.1717 -1.3979
Al 0.0000 0.0000 0.0000

=====

Most stable pick: B. Distance to second place: 91 meV per atom.

=====

A | 5
Lattice="-4.5338 -1.1821 0.7220 -0.2525 -1.6248 -4.2456 1.3600 -4.2678 1.5524" Properties=species:S:1:pos:R:3 comment="Nb2AlVSe, optimized geometry, DFT GGA-PBE" density_g_cm3=5.56 pbc="T T T"
Al -0.1262 -0.8124 -2.1228
Nb 0.6800 -2.1339 0.7762
Nb -2.2669 -0.5910 0.3610
Se 0.0000 0.0000 0.0000
V -1.7131 -3.5374 -0.9856

=====

B | 5
Lattice="-0.8544 -4.1463 2.3302 4.2590 -0.0526 1.4680 -1.3239 2.4813 3.9297" Properties=species:S:1:pos:R:3 comment="Nb2AlVSe, optimized geometry, DFT GGA-PBE" density_g_cm3=5.41 pbc="T T T"
Nb -0.4272 -2.0732 1.1651
Nb -0.6619 1.2407 1.9649
Al 0.0000 0.0000 0.0000
Se 1.0404 -0.8588 3.8640
V 2.1295 -0.0263 0.7340

=====

Most stable pick: A. Distance to second place: 173 meV per atom.

=====

A | 5
Lattice="4.6070 0.0000 0.0000 0.0000 4.6070 0.0000 0.0000 0.0000 4.6070" Properties=species:S:1:pos:R:3 comment="NbAlSi3, optimized geometry, DFT GGA-PBE" density_g_cm3=3.47 pbc="T T T"
Al 0.0000 0.0000 0.0000
Si 0.0000 0.0000 2.3035
Si 2.3035 0.0000 0.0000
Si 0.0000 2.3035 0.0000
Nb 2.3035 2.3035 2.3035

=====

B | 5
Lattice="4.8845 0.0000 0.0000 0.0000 4.8845 0.0000 0.0000 0.0000 4.8845" Properties=species:S:1:pos:R:3 comment="NbAlSi3, optimized geometry, DFT GGA-PBE" density_g_cm3=2.91 pbc="T T T"
Si 2.4423 0.0000 0.0000
Si 0.0000 2.4423 0.0000
Si 0.0000 0.0000 2.4423
Al 2.4423 2.4423 2.4423
Nb 0.0000 0.0000 0.0000

=====

Most stable pick: B. Distance to second place: 552 meV per atom.